Entry from Alexandria: TeP3 after structural relaxation (PBE). Values from VASP.

Output
Uncorrected formation energy, meV/atom: 646.2
Symmetry: Immm (71)
E above lowest polymorph, eV/atom: 0.4473

```
&SYSTEM
  ibrav = 0, nat = 4, ntyp = 2
/
ATOMIC_SPECIES
Te 127.60 Te.upf
P 30.97 P.upf
CELL_PARAMETERS angstrom
-1.5588 2.5756 4.9203
1.5588 -2.5756 4.9203
1.5588 2.5756 -4.9203
ATOMIC_POSITIONS crystal
Te 0.0000 0.0000 0.0000
P 0.3244 0.8244 0.5000
P 0.5000 0.5000 0.0000
P 0.6756 0.1756 0.5000
```



Entry from Alexandria: GeOsSeBr2 after structural relaxation (PBE). Values from VASP.

Output
Uncorrected formation energy, meV/atom: 623.6
Symmetry: P4/mmm (123)
E above lowest polymorph, eV/atom: 0.0000

```
&SYSTEM
  ibrav = 0, nat = 5, ntyp = 4
/
ATOMIC_SPECIES
Ge 72.64 Ge.upf
Os 190.23 Os.upf
Se 78.96 Se.upf
Br 79.90 Br.upf
CELL_PARAMETERS angstrom
5.1781 0.0000 0.0000
0.0000 5.1781 0.0000
0.0000 0.0000 4.7195
ATOMIC_POSITIONS crystal
Ge 0.0000 0.0000 0.0000
Os 0.5000 0.5000 0.5000
Se 0.5000 0.5000 0.0000
Br 0.0000 0.5000 0.5000
Br 0.5000 0.0000 0.5000
```